PdAu2Cl8: optimized geometry, PBE-GGA.

Geometry as CIF:
```
data_PdAu2Cl8
_chemical_formula_sum 'Pd2 Au4 Cl16'
_cell_length_a 11.813
_cell_length_b 8.243
_cell_length_c 6.602
_cell_angle_alpha 90.00
_cell_angle_beta 101.95
_cell_angle_gamma 90.00
_space_group_name_H-M_alt 'C 1 2/m 1'
_space_group_IT_number 12
loop_
_space_group_symop_operation_xyz
'x,y,z'
'-x,-y,-z'
'-x,y,-z'
'x,-y,z'
'x+1/2,y+1/2,z'
'-x+1/2,-y+1/2,-z'
'-x+1/2,y+1/2,-z'
'x+1/2,-y+1/2,z'
loop_
_atom_site_label
_atom_site_fract_x
_atom_site_fract_y
_atom_site_fract_z
Pd1 0.000 0.000 0.000
Au1 0.238 0.000 0.753
Cl1 0.079 0.500 0.295
Cl2 0.087 0.189 0.813
Cl3 0.168 0.000 0.267
```

As for the density: 4.1 g cm⁻³. Its density of states at the Fermi level is 12.707 states/eV/cell. The calculation puts the electronic total energy at -56.0 eV per cell. For the formation energy without anion corrections, the calculation gives -0.13 eV/atom.